Material: BaZn2B2O6
Method: DFT, SCAN
State: PBEsol geometry Values from VASP.

Properties
Formation energy (no corrections) in kcal/mol of atoms: -56.30

Quantum ESPRESSO input file:
```
&SYSTEM
  ibrav = 0, nat = 44, ntyp = 4
/
ATOMIC_SPECIES
Ba 137.33 Ba.upf
Zn 65.41 Zn.upf
B 10.81 B.upf
O 16.00 O.upf
CELL_PARAMETERS angstrom
4.921 0.000 0.000
0.000 9.293 0.000
0.000 0.000 12.116
ATOMIC_POSITIONS crystal
Ba 0.030 0.105 0.271
Ba 0.470 0.895 0.771
Ba 0.530 0.395 0.729
Ba 0.970 0.605 0.229
Zn 0.047 0.341 0.032
Zn 0.048 0.130 0.605
Zn 0.452 0.870 0.105
Zn 0.453 0.659 0.532
Zn 0.547 0.159 0.968
Zn 0.548 0.370 0.395
Zn 0.952 0.630 0.895
Zn 0.953 0.841 0.468
B 0.029 0.165 0.833
B 0.059 0.411 0.508
B 0.441 0.589 0.008
B 0.471 0.835 0.333
B 0.529 0.335 0.167
B 0.559 0.089 0.492
B 0.941 0.911 0.992
B 0.971 0.665 0.667
O 0.039 0.834 0.904
O 0.087 0.941 0.085
O 0.104 0.592 0.749
O 0.123 0.749 0.593
O 0.168 0.540 0.014
O 0.192 0.834 0.341
O 0.308 0.166 0.841
O 0.332 0.460 0.514
O 0.377 0.251 0.093
O 0.396 0.408 0.249
O 0.413 0.059 0.585
O 0.461 0.166 0.404
O 0.539 0.666 0.096
O 0.587 0.559 0.915
O 0.604 0.908 0.251
O 0.623 0.751 0.407
O 0.668 0.960 0.986
O 0.692 0.666 0.659
O 0.808 0.334 0.159
O 0.832 0.040 0.486
O 0.877 0.249 0.907
O 0.896 0.092 0.751
O 0.913 0.441 0.415
O 0.961 0.334 0.596
```



Material: LiFe2Hg
Method: DFT, SCAN
State: PBEsol geometry Values from VASP.

Properties
ΔH_f (0 K) in meV/atom: 119

Quantum ESPRESSO input file:
```
&SYSTEM
  ibrav = 0, nat = 8, ntyp = 3
/
ATOMIC_SPECIES
Li 6.94 Li.upf
Fe 55.84 Fe.upf
Hg 200.59 Hg.upf
CELL_PARAMETERS angstrom
4.242 0.000 0.000
0.000 4.242 0.000
0.000 0.000 5.974
ATOMIC_POSITIONS crystal
Li 0.000 0.000 0.000
Li 0.500 0.500 0.500
Fe 0.000 0.000 0.500
Fe 0.000 0.500 0.750
Fe 0.500 0.000 0.250
Fe 0.500 0.500 0.000
Hg 0.000 0.500 0.250
Hg 0.500 0.000 0.750
```



Material: LaScRh4
Method: DFT, SCAN
State: PBEsol geometry Values from VASP.

Properties
ΔH_f (0 K) in meV/atom: -718

Quantum ESPRESSO input file:
```
&SYSTEM
  ibrav = 0, nat = 6, ntyp = 3
/
ATOMIC_SPECIES
La 138.91 La.upf
Sc 44.96 Sc.upf
Rh 102.91 Rh.upf
CELL_PARAMETERS angstrom
0.000 3.714 3.714
3.714 0.000 3.714
3.714 3.714 0.000
ATOMIC_POSITIONS crystal
La 0.000 0.000 0.000
Sc 0.250 0.250 0.250
Rh 0.127 0.624 0.624
Rh 0.624 0.127 0.624
Rh 0.624 0.624 0.127
Rh 0.624 0.624 0.624
```



Material: TlCuSe
Method: DFT, SCAN
State: PBEsol geometry Values from VASP.

Properties
Formation energy (no corrections) in kcal/mol of atoms: -6.03

Quantum ESPRESSO input file:
```
&SYSTEM
  ibrav = 0, nat = 3, ntyp = 3
/
ATOMIC_SPECIES
Tl 204.38 Tl.upf
Cu 63.55 Cu.upf
Se 78.96 Se.upf
CELL_PARAMETERS angstrom
4.075 0.000 0.000
-2.038 3.529 0.000
0.000 0.000 4.741
ATOMIC_POSITIONS crystal
Tl 0.000 0.000 0.000
Cu 0.333 0.667 0.499
Se 0.667 0.333 0.500
```



Material: CaTiAgP3O12
Method: DFT, SCAN
State: PBEsol geometry Values from VASP.

Properties
Formation energy (no corrections) in kcal/mol of atoms: -55.24

Quantum ESPRESSO input file:
```
&SYSTEM
  ibrav = 0, nat = 36, ntyp = 5
/
ATOMIC_SPECIES
Ca 40.08 Ca.upf
Ti 47.87 Ti.upf
Ag 107.87 Ag.upf
P 30.97 P.upf
O 16.00 O.upf
CELL_PARAMETERS angstrom
4.362 2.518 7.217
-4.362 2.518 7.217
0.000 -5.037 7.217
ATOMIC_POSITIONS crystal
Ca 0.000 0.000 0.000
Ca 0.500 0.500 0.500
Ti 0.349 0.349 0.349
Ti 0.849 0.849 0.849
Ag 0.145 0.145 0.145
Ag 0.645 0.645 0.645
P 0.044 0.455 0.738
P 0.238 0.955 0.544
P 0.455 0.738 0.044
P 0.544 0.238 0.955
P 0.738 0.044 0.455
P 0.955 0.544 0.238
O 0.063 0.952 0.726
O 0.075 0.265 0.897
O 0.125 0.493 0.289
O 0.204 0.961 0.388
O 0.226 0.452 0.563
O 0.265 0.897 0.075
O 0.289 0.125 0.493
O 0.388 0.204 0.961
O 0.397 0.765 0.575
O 0.452 0.563 0.226
O 0.461 0.704 0.888
O 0.493 0.289 0.125
O 0.563 0.226 0.452
O 0.575 0.397 0.765
O 0.625 0.789 0.993
O 0.704 0.888 0.461
O 0.726 0.063 0.952
O 0.765 0.575 0.397
O 0.789 0.993 0.625
O 0.888 0.461 0.704
O 0.897 0.075 0.265
O 0.952 0.726 0.063
O 0.961 0.388 0.204
O 0.993 0.625 0.789
```



Material: Be2PSe
Method: DFT, SCAN
State: PBEsol geometry Values from VASP.

Properties
Formation energy (no corrections) in kcal/mol of atoms: 6.82
Energy relative to the lowest polymorph listed for this composition in eV/atom: 0.000

Quantum ESPRESSO input file:
```
&SYSTEM
  ibrav = 0, nat = 8, ntyp = 3
/
ATOMIC_SPECIES
Be 9.01 Be.upf
P 30.97 P.upf
Se 78.96 Se.upf
CELL_PARAMETERS angstrom
5.300 0.000 0.000
0.000 6.534 0.000
-1.691 0.000 3.187
ATOMIC_POSITIONS crystal
Be 0.250 0.250 0.000
Be 0.250 0.750 0.000
Be 0.750 0.250 0.000
Be 0.750 0.750 0.000
P 0.000 0.000 0.500
P 0.500 0.500 0.500
Se 0.000 0.500 0.500
Se 0.500 0.000 0.500
```



Material: Na2CrB
Method: DFT, SCAN
State: PBEsol geometry Values from VASP.

Properties
ΔH_f (0 K) in meV/atom: 731

Quantum ESPRESSO input file:
```
&SYSTEM
  ibrav = 0, nat = 16, ntyp = 3
/
ATOMIC_SPECIES
Na 22.99 Na.upf
Cr 52.00 Cr.upf
B 10.81 B.upf
CELL_PARAMETERS angstrom
9.902 0.000 0.000
0.000 9.902 0.000
0.000 0.000 4.056
ATOMIC_POSITIONS crystal
Na 0.085 0.750 0.125
Na 0.250 0.085 0.875
Na 0.250 0.415 0.375
Na 0.415 0.750 0.625
Na 0.585 0.250 0.625
Na 0.750 0.585 0.375
Na 0.750 0.915 0.875
Na 0.915 0.250 0.125
Cr 0.000 0.000 0.500
Cr 0.000 0.500 0.750
Cr 0.500 0.000 0.250
Cr 0.500 0.500 0.000
B 0.000 0.000 0.000
B 0.000 0.500 0.250
B 0.500 0.000 0.750
B 0.500 0.500 0.500
```



Material: SrCu2Hg
Method: DFT, SCAN
State: PBEsol geometry Values from VASP.

Properties
ΔH_f (0 K) in meV/atom: -163
Energy relative to the lowest polymorph listed for this composition in eV/atom: 0.000

Quantum ESPRESSO input file:
```
&SYSTEM
  ibrav = 0, nat = 12, ntyp = 3
/
ATOMIC_SPECIES
Sr 87.62 Sr.upf
Cu 63.55 Cu.upf
Hg 200.59 Hg.upf
CELL_PARAMETERS angstrom
4.449 0.000 0.000
-2.224 3.853 0.000
0.000 0.000 15.307
ATOMIC_POSITIONS crystal
Sr 0.000 0.000 0.000
Sr 0.333 0.667 0.667
Sr 0.667 0.333 0.333
Cu 0.000 0.000 0.194
Cu 0.000 0.000 0.806
Cu 0.333 0.667 0.473
Cu 0.333 0.667 0.860
Cu 0.667 0.333 0.140
Cu 0.667 0.333 0.527
Hg 0.000 0.000 0.500
Hg 0.333 0.667 0.167
Hg 0.667 0.333 0.833
```



Material: RbSnN3
Method: DFT, SCAN
State: PBEsol geometry Values from VASP.

Properties
Formation energy (no corrections) in kcal/mol of atoms: 68.49

Quantum ESPRESSO input file:
```
&SYSTEM
  ibrav = 0, nat = 5, ntyp = 3
/
ATOMIC_SPECIES
Rb 85.47 Rb.upf
Sn 118.71 Sn.upf
N 14.01 N.upf
CELL_PARAMETERS angstrom
4.447 0.000 0.000
0.000 4.447 0.000
0.000 0.000 4.447
ATOMIC_POSITIONS crystal
Rb 0.000 0.000 0.000
Sn 0.500 0.500 0.500
N 0.000 0.000 0.500
N 0.000 0.500 0.000
N 0.500 0.000 0.000
```



Material: CdHgP2
Method: DFT, SCAN
State: PBEsol geometry Values from VASP.

Properties
ΔH_f (0 K) in meV/atom: 592
Energy relative to the lowest polymorph listed for this composition in eV/atom: 0.228

Quantum ESPRESSO input file:
```
&SYSTEM
  ibrav = 0, nat = 8, ntyp = 3
/
ATOMIC_SPECIES
Cd 112.41 Cd.upf
Hg 200.59 Hg.upf
P 30.97 P.upf
CELL_PARAMETERS angstrom
3.772 0.000 0.000
0.000 5.186 0.000
0.000 0.000 7.831
ATOMIC_POSITIONS crystal
Cd 0.000 0.000 0.000
Cd 0.500 0.500 0.500
Hg 0.000 0.000 0.500
Hg 0.500 0.500 0.000
P 0.000 0.500 0.242
P 0.000 0.500 0.758
P 0.500 0.000 0.258
P 0.500 0.000 0.742
```



Material: CaPtAu3
Method: DFT, SCAN
State: PBEsol geometry Values from VASP.

Properties
ΔH_f (0 K) in meV/atom: -132

Quantum ESPRESSO input file:
```
&SYSTEM
  ibrav = 0, nat = 5, ntyp = 3
/
ATOMIC_SPECIES
Ca 40.08 Ca.upf
Pt 195.08 Pt.upf
Au 196.97 Au.upf
CELL_PARAMETERS angstrom
5.013 0.000 0.000
0.000 5.013 0.000
0.000 0.000 5.013
ATOMIC_POSITIONS crystal
Ca 0.000 0.000 0.000
Pt 0.500 0.500 0.500
Au 0.000 0.500 0.500
Au 0.500 0.000 0.500
Au 0.500 0.500 0.000
```



Material: KCa2Ta
Method: DFT, SCAN
State: PBEsol geometry Values from VASP.

Properties
ΔH_f (0 K) in meV/atom: 1016
Energy relative to the lowest polymorph listed for this composition in eV/atom: 0.245

Quantum ESPRESSO input file:
```
&SYSTEM
  ibrav = 0, nat = 8, ntyp = 3
/
ATOMIC_SPECIES
K 39.10 K.upf
Ca 40.08 Ca.upf
Ta 180.95 Ta.upf
CELL_PARAMETERS angstrom
12.100 0.000 0.000
0.000 3.204 0.000
-0.815 0.000 6.374
ATOMIC_POSITIONS crystal
K 0.000 0.000 0.000
K 0.500 0.500 0.000
Ca 0.028 0.500 0.538
Ca 0.261 0.500 0.243
Ca 0.528 0.000 0.538
Ca 0.761 0.000 0.243
Ta 0.257 0.000 0.689
Ta 0.757 0.500 0.689
```



Number 1: uncorrected energy -13.244 eV/atom, D(E_F) 0.0 states/eV/f.u.. Number 2: uncorrected energy -26.585 eV/atom, D(E_F) 1.9 states/eV/f.u.. Number 3: uncorrected energy -32.790 eV/atom, D(E_F) 2.6 states/eV/f.u.. Number 4: uncorrected energy -36.140 eV/atom, D(E_F) 0.5 states/eV/f.u.. Number 5: uncorrected energy -11.453 eV/atom, D(E_F) 2.5 states/eV/f.u.. Number 6: uncorrected energy -9.500 eV/atom, D(E_F) 1.1 states/eV/f.u.. Number 7: uncorrected energy -7.830 eV/atom, D(E_F) 1.5 states/eV/f.u.. Number 8: uncorrected energy -30.373 eV/atom, D(E_F) 1.7 states/eV/f.u.. Number 9: uncorrected energy -13.937 eV/atom, D(E_F) 2.6 states/eV/f.u.. Number 10: uncorrected energy -29.252 eV/atom, D(E_F) 1.6 states/eV/f.u.. Number 11: uncorrected energy -57.598 eV/atom, D(E_F) 1.4 states/eV/f.u.. Number 12: uncorrected energy -22.544 eV/atom, D(E_F) 3.3 states/eV/f.u..